(1)
# Tb2GaBPt6 (PBE, relaxed)
# E_tot: -128.61 eV/cell
# symmetry: Pmmn (59)
data_Tb2GaBPt6
_chemical_formula_sum 'Tb4 Ga2 B2 Pt12'
_cell_length_a 5.678
_cell_length_b 7.344
_cell_length_c 8.648
_cell_angle_alpha 90.00
_cell_angle_beta 90.00
_cell_angle_gamma 90.00
_symmetry_space_group_name_H-M 'P 1'
_symmetry_Int_Tables_number 1
loop_
_symmetry_equiv_pos_as_xyz
'x,y,z'
loop_
_atom_site_label
_atom_site_fract_x
_atom_site_fract_y
_atom_site_fract_z
_atom_site_occupancy
Tb1 0.000 0.285 0.784 1
Pt1 0.749 0.405 0.500 1
Tb2 0.500 0.715 0.284 1
Pt2 0.500 0.144 0.745 1
Tb3 0.000 0.285 0.216 1
Pt3 0.251 0.405 0.500 1
Pt4 0.000 0.856 0.755 1
Ga1 0.500 0.320 0.000 1
Pt5 0.259 0.015 0.000 1
Pt6 0.751 0.595 0.000 1
Pt7 0.241 0.985 0.500 1
Pt8 0.500 0.144 0.255 1
Pt9 0.741 0.015 0.000 1
Pt10 0.759 0.985 0.500 1
B1 0.000 0.808 0.000 1
B2 0.500 0.192 0.500 1
Pt11 0.000 0.856 0.245 1
Tb4 0.500 0.715 0.716 1
Ga2 0.000 0.680 0.500 1
Pt12 0.249 0.595 0.000 1


(2)
# KCd2GaS4 (PBE, relaxed)
# uncorrected formation energy: -0.781 eV/atom
# symmetry: Fmm2 (42)
data_KCd2GaS4
_chemical_formula_sum 'K1 Cd2 Ga1 S4'
_cell_length_a 6.566
_cell_length_b 6.566
_cell_length_c 6.658
_cell_angle_alpha 119.43
_cell_angle_beta 119.43
_cell_angle_gamma 90.19
_symmetry_space_group_name_H-M 'P 1'
_symmetry_Int_Tables_number 1
loop_
_symmetry_equiv_pos_as_xyz
'x,y,z'
loop_
_atom_site_label
_atom_site_fract_x
_atom_site_fract_y
_atom_site_fract_z
_atom_site_occupancy
K1 0.002 0.002 0.004 1
S1 0.430 0.838 0.268 1
Cd1 0.750 0.250 0.500 1
Cd2 0.250 0.750 0.500 1
Ga1 0.500 0.500 0.999 1
S2 0.161 0.161 0.731 1
S3 0.570 0.570 0.731 1
S4 0.838 0.430 0.268 1


(3)
# ScHgB (PBE, relaxed)
# relative energy among the computed polymorphs: 384 meV/atom
# symmetry: C2/m (12)
data_ScHgB
_chemical_formula_sum 'Sc2 Hg2 B2'
_cell_length_a 5.838
_cell_length_b 3.448
_cell_length_c 5.644
_cell_angle_alpha 72.20
_cell_angle_beta 110.27
_cell_angle_gamma 107.20
_symmetry_space_group_name_H-M 'P 1'
_symmetry_Int_Tables_number 1
loop_
_symmetry_equiv_pos_as_xyz
'x,y,z'
loop_
_atom_site_label
_atom_site_fract_x
_atom_site_fract_y
_atom_site_fract_z
_atom_site_occupancy
Hg1 0.616 0.736 0.776 1
B1 0.416 0.024 0.001 1
Hg2 0.145 0.139 0.499 1
Sc1 0.090 0.384 0.952 1
B2 0.345 0.851 0.274 1
Sc2 0.670 0.490 0.323 1


(4)
# Tl2InSn (PBE, relaxed)
# relative energy among the computed polymorphs: 21 meV/atom
# symmetry: Amm2 (38)
data_Tl2InSn
_chemical_formula_sum 'Tl2 In1 Sn1'
_cell_length_a 3.414
_cell_length_b 3.241
_cell_length_c 10.837
_cell_angle_alpha 98.60
_cell_angle_beta 90.00
_cell_angle_gamma 90.00
_symmetry_space_group_name_H-M 'P 1'
_symmetry_Int_Tables_number 1
loop_
_symmetry_equiv_pos_as_xyz
'x,y,z'
loop_
_atom_site_label
_atom_site_fract_x
_atom_site_fract_y
_atom_site_fract_z
_atom_site_occupancy
Tl1 0.000 0.491 0.982 1
In1 0.500 0.866 0.732 1
Tl2 0.500 0.120 0.239 1
Sn1 0.000 0.253 0.505 1


(5)
# BaSbI (PBE, relaxed)
# uncorrected formation energy: -1.255 eV/atom
# relative energy among the computed polymorphs: 0 meV/atom
# symmetry: Cmcm (63)
data_BaSbI
_chemical_formula_sum 'Ba2 Sb2 I2'
_cell_length_a 4.528
_cell_length_b 4.537
_cell_length_c 13.075
_cell_angle_alpha 90.00
_cell_angle_beta 99.97
_cell_angle_gamma 90.00
_symmetry_space_group_name_H-M 'P 1'
_symmetry_Int_Tables_number 1
loop_
_symmetry_equiv_pos_as_xyz
'x,y,z'
loop_
_atom_site_label
_atom_site_fract_x
_atom_site_fract_y
_atom_site_fract_z
_atom_site_occupancy
Sb1 0.750 0.250 0.500 1
Ba1 0.859 0.750 0.719 1
Ba2 0.141 0.250 0.281 1
I1 0.582 0.750 0.164 1
Sb2 0.250 0.750 0.500 1
I2 0.418 0.250 0.836 1


(6)
# LiZnGe3 (PBE, relaxed)
# relative energy among the computed polymorphs: 29 meV/atom
# symmetry: Pm-3m (221)
data_LiZnGe3
_chemical_formula_sum 'Li1 Zn1 Ge3'
_cell_length_a 4.608
_cell_length_b 4.608
_cell_length_c 4.608
_cell_angle_alpha 90.00
_cell_angle_beta 90.00
_cell_angle_gamma 90.00
_symmetry_space_group_name_H-M 'P 1'
_symmetry_Int_Tables_number 1
loop_
_symmetry_equiv_pos_as_xyz
'x,y,z'
loop_
_atom_site_label
_atom_site_fract_x
_atom_site_fract_y
_atom_site_fract_z
_atom_site_occupancy
Ge1 0.000 0.500 0.000 1
Li1 0.000 0.000 0.000 1
Zn1 0.500 0.500 0.500 1
Ge2 0.500 0.000 0.000 1
Ge3 0.000 0.000 0.500 1


(7)
# CeAgAu2 (PBE, relaxed)
# relative energy among the computed polymorphs: 191 meV/atom
# symmetry: P4/mmm (123)
data_CeAgAu2
_chemical_formula_sum 'Ce1 Ag1 Au2'
_cell_length_a 3.741
_cell_length_b 4.864
_cell_length_c 4.864
_cell_angle_alpha 90.00
_cell_angle_beta 90.00
_cell_angle_gamma 90.00
_symmetry_space_group_name_H-M 'P 1'
_symmetry_Int_Tables_number 1
loop_
_symmetry_equiv_pos_as_xyz
'x,y,z'
loop_
_atom_site_label
_atom_site_fract_x
_atom_site_fract_y
_atom_site_fract_z
_atom_site_occupancy
Au1 0.000 0.500 0.000 1
Au2 0.000 0.000 0.500 1
Ag1 0.500 0.000 0.000 1
Ce1 0.500 0.500 0.500 1


(8)
# Ho2GeSb (PBE, relaxed)
# uncorrected formation energy: -0.930 eV/atom
# relative energy among the computed polymorphs: 0 meV/atom
# symmetry: Cmcm (63)
data_Ho2GeSb
_chemical_formula_sum 'Ho4 Ge2 Sb2'
_cell_length_a 4.151
_cell_length_b 4.350
_cell_length_c 11.734
_cell_angle_alpha 100.68
_cell_angle_beta 90.00
_cell_angle_gamma 90.00
_symmetry_space_group_name_H-M 'P 1'
_symmetry_Int_Tables_number 1
loop_
_symmetry_equiv_pos_as_xyz
'x,y,z'
loop_
_atom_site_label
_atom_site_fract_x
_atom_site_fract_y
_atom_site_fract_z
_atom_site_occupancy
Ho1 0.250 0.061 0.121 1
Ho2 0.750 0.939 0.879 1
Ge1 0.250 0.457 0.915 1
Ge2 0.750 0.543 0.085 1
Sb1 0.250 0.190 0.379 1
Ho3 0.250 0.323 0.647 1
Ho4 0.750 0.677 0.353 1
Sb2 0.750 0.810 0.621 1